Entry from Alexandria via LeMat-Bulk: a relaxed structure of VAsRu (PBE).

Lattice parameters (Å, degrees): 4.090 2.874 14.593 90.00 90.00 90.00
Space group Amm2 (No. 38)
Unique sites:
V1 0.000 0.000 0.000 [2 per cell]
V2 0.500 0.000 0.235 [2 per cell]
As1 0.000 0.000 0.833 [2 per cell]
As2 0.500 0.000 0.568 [2 per cell]
Ru1 0.000 0.000 0.666 [2 per cell]
Ru2 0.500 0.000 0.397 [2 per cell]

Values from the calculation:
Fermi-level density of states (states/eV/f.u.): 2.0
ΔH_f (0 K) (meV/atom): -242
Final energy (Ry/atom): -0.5823
Volume (Å³ per cell): 172